No. 1
# Al2Zn2S5 | Alexandria via LeMat-Bulk | PBE | optimized geometry
# E_tot: -4.364 eV per atom
# Raw formation energy: -956 meV/atom
# N(E_F): 0.00 states/eV/cell
data_Al2Zn2S5
_symmetry_space_group_name_H-M 'P 1 21 1'
_symmetry_Int_Tables_number 4
_symmetry_space_group_name_Hall 'P 2yb'
_cell_length_a 6.5561
_cell_length_b 6.1974
_cell_length_c 9.9744
_cell_angle_alpha 90.00
_cell_angle_beta 109.16
_cell_angle_gamma 90.00
loop_
_atom_site_label
_atom_site_type_symbol
_atom_site_fract_x
_atom_site_fract_y
_atom_site_fract_z
Al1 Al 0.1283 0.0000 0.1034
Al2 Al 0.3395 0.0020 0.4997
Zn1 Zn 0.2622 0.4885 0.6917
Zn2 Zn 0.4683 0.5035 0.1113
S1 S 0.0728 0.1254 0.3018
S2 S 0.1222 0.6316 0.0947
S3 S 0.2562 0.1135 0.6899
S4 S 0.3348 0.6325 0.4946
S5 S 0.4586 0.1179 0.0989

=====

No. 2
# Al3ZnS | Alexandria via LeMat-Bulk | PBE | optimized geometry
# E_tot: -2.948 eV per atom
# Energy above the lowest structure with this stoichiometry: 0.0 meV/atom
# Raw formation energy: 378 meV/atom
# N(E_F): 1.58 states/eV/cell
data_Al3ZnS
_symmetry_space_group_name_H-M 'P m -3 m'
_symmetry_Int_Tables_number 221
_symmetry_space_group_name_Hall '-P 4 2 3'
_cell_length_a 4.7110
_cell_length_b 4.7110
_cell_length_c 4.7110
_cell_angle_alpha 90.00
_cell_angle_beta 90.00
_cell_angle_gamma 90.00
loop_
_atom_site_label
_atom_site_type_symbol
_atom_site_fract_x
_atom_site_fract_y
_atom_site_fract_z
Al1 Al 0.0000 0.0000 0.5000
Zn1 Zn 0.0000 0.0000 0.0000
S1 S 0.5000 0.5000 0.5000

=====

No. 3
# Al2Zn2S5 | Alexandria via LeMat-Bulk | PBE | optimized geometry
# E_tot: -4.224 eV per atom
# Raw formation energy: -816 meV/atom
data_Al2Zn2S5
_symmetry_space_group_name_H-M 'P 63/m m c'
_symmetry_Int_Tables_number 194
_symmetry_space_group_name_Hall '-P 6c 2c'
_cell_length_a 3.6784
_cell_length_b 3.6784
_cell_length_c 31.6282
_cell_angle_alpha 90.00
_cell_angle_beta 90.00
_cell_angle_gamma 120.00
loop_
_atom_site_label
_atom_site_type_symbol
_atom_site_fract_x
_atom_site_fract_y
_atom_site_fract_z
Al1 Al 0.3333 0.6667 0.0934
Zn1 Zn 0.0000 0.0000 0.2027
S1 S 0.3333 0.6667 0.1623
S2 S 0.3333 0.6667 0.5622
S3 S 0.3333 0.6667 0.7500

=====

No. 4
# Al2Zn2S5 | Alexandria via LeMat-Bulk | PBE | optimized geometry
# E_tot: -4.228 eV per atom
# Raw formation energy: -820 meV/atom
data_Al2Zn2S5
_symmetry_space_group_name_H-M 'P -3 m 1'
_symmetry_Int_Tables_number 164
_symmetry_space_group_name_Hall '-P 3 2"'
_cell_length_a 3.6715
_cell_length_b 3.6715
_cell_length_c 15.7099
_cell_angle_alpha 90.00
_cell_angle_beta 90.00
_cell_angle_gamma 120.00
loop_
_atom_site_label
_atom_site_type_symbol
_atom_site_fract_x
_atom_site_fract_y
_atom_site_fract_z
Al1 Al 0.3333 0.6667 0.1845
Zn1 Zn 0.3333 0.6667 0.5948
S1 S 0.0000 0.0000 0.5000
S2 S 0.3333 0.6667 0.3233
S3 S 0.3333 0.6667 0.8783

=====

No. 5
# Zr2AlS | Alexandria via LeMat-Bulk | PBE | optimized geometry
# E_tot: -6.241 eV per atom
# Energy above the lowest structure with this stoichiometry: 870.2 meV/atom
# Raw formation energy: 1 meV/atom
# N(E_F): 15.76 states/eV/cell
data_Zr2AlS
_symmetry_space_group_name_H-M 'I -4 2 d'
_symmetry_Int_Tables_number 122
_symmetry_space_group_name_Hall 'I -4 2bw'
_cell_length_a 5.7516
_cell_length_b 5.7516
_cell_length_c 12.9930
_cell_angle_alpha 90.00
_cell_angle_beta 90.00
_cell_angle_gamma 90.00
loop_
_atom_site_label
_atom_site_type_symbol
_atom_site_fract_x
_atom_site_fract_y
_atom_site_fract_z
Zr1 Zr 0.2116 0.2500 0.1250
Al1 Al 0.0000 0.0000 0.5000
S1 S 0.0000 0.0000 0.0000

=====

No. 6
# ZrAlS | Alexandria via LeMat-Bulk | PBE | optimized geometry
# E_tot: -6.446 eV per atom
# Raw formation energy: -973 meV/atom
# N(E_F): 2.29 states/eV/cell
data_ZrAlS
_symmetry_space_group_name_H-M 'P 4/n m m'
_symmetry_Int_Tables_number 129
_cell_length_a 3.6210
_cell_length_b 3.6210
_cell_length_c 8.4737
_cell_angle_alpha 90.00
_cell_angle_beta 90.00
_cell_angle_gamma 90.00
loop_
_symmetry_equiv_pos_as_xyz
'x,y,z'
'-x,-y,-z'
'-y+1/2,x,z'
'y+1/2,-x,-z'
'-x+1/2,-y+1/2,z'
'x+1/2,y+1/2,-z'
'y,-x+1/2,z'
'-y,x+1/2,-z'
'x+1/2,-y,-z'
'-x+1/2,y,z'
'-y,-x,-z'
'y,x,z'
'-x,y+1/2,-z'
'x,-y+1/2,z'
'y+1/2,x+1/2,-z'
'-y+1/2,-x+1/2,z'
loop_
_atom_site_label
_atom_site_type_symbol
_atom_site_fract_x
_atom_site_fract_y
_atom_site_fract_z
Zr1 Zr 0.2500 0.2500 0.2122
Al1 Al 0.2500 0.7500 0.5000
S1 S 0.2500 0.2500 0.8815

=====

No. 7
# Zr2AlS | Alexandria via LeMat-Bulk | PBE | optimized geometry
# E_tot: -7.111 eV per atom
# Energy above the lowest structure with this stoichiometry: 0.0 meV/atom
# Raw formation energy: -869 meV/atom
# N(E_F): 7.24 states/eV/cell
data_Zr2AlS
_symmetry_space_group_name_H-M 'R 3 m'
_symmetry_Int_Tables_number 160
_symmetry_space_group_name_Hall 'R 3 -2"'
_cell_length_a 3.4736
_cell_length_b 3.4736
_cell_length_c 22.6262
_cell_angle_alpha 90.00
_cell_angle_beta 90.00
_cell_angle_gamma 120.00
loop_
_atom_site_label
_atom_site_type_symbol
_atom_site_fract_x
_atom_site_fract_y
_atom_site_fract_z
Zr1 Zr 0.0000 0.0000 0.0000
Zr2 Zr 0.0000 0.0000 0.1931
Al1 Al 0.0000 0.0000 0.7642
S1 S 0.0000 0.0000 0.5967

=====

No. 8
# ZrAlS2 | Alexandria via LeMat-Bulk | PBE | optimized geometry
# E_tot: -6.094 eV per atom
# Raw formation energy: -958 meV/atom
# N(E_F): 7.18 states/eV/cell
data_ZrAlS2
_symmetry_space_group_name_H-M 'R -3 m'
_symmetry_Int_Tables_number 166
_symmetry_space_group_name_Hall '-R 3 2"'
_cell_length_a 3.4657
_cell_length_b 3.4657
_cell_length_c 24.1966
_cell_angle_alpha 90.00
_cell_angle_beta 90.00
_cell_angle_gamma 120.00
loop_
_atom_site_label
_atom_site_type_symbol
_atom_site_fract_x
_atom_site_fract_y
_atom_site_fract_z
Zr1 Zr 0.0000 0.0000 0.0000
Al1 Al 0.0000 0.0000 0.5000
S1 S 0.0000 0.0000 0.4001

=====

Number 1: magnetization 0.00 μB/atom. Number 2: magnetization 0.00 μB/atom. Number 3: magnetization 0.00 μB/atom. Number 4: magnetization 0.00 μB/atom. Number 5: magnetization 0.00 μB/atom. Number 6: magnetization 0.00 μB/atom. Number 7: magnetization 0.00 μB/atom. Number 8: magnetization 0.00 μB/atom.